Here is an optimized crystal structure of BaNdSm from OQMD via LeMat-Bulk. Energies are from GGA-PBE.

The structure in CIF format:
```
data_BaNdSm
_symmetry_space_group_name_H-M 'F -4 3 m'
_symmetry_Int_Tables_number 216
_symmetry_space_group_name_Hall 'F -4 2 3'
_cell_length_a 8.344
_cell_length_b 8.344
_cell_length_c 8.344
_cell_angle_alpha 90.00
_cell_angle_beta 90.00
_cell_angle_gamma 90.00
loop_
_atom_site_label
_atom_site_fract_x
_atom_site_fract_y
_atom_site_fract_z
Ba1 0.000 0.000 0.000
Nd1 0.000 0.000 0.500
Sm1 0.250 0.250 0.250
```

* E: -3.014 eV per atom

---

Here is an optimized crystal structure of Lu4NiSnN2 from OQMD via LeMat-Bulk. Energies are from GGA-PBE.

The structure in CIF format:
```
data_Lu4NiSnN2
_symmetry_space_group_name_H-M 'P -6 m 2'
_symmetry_Int_Tables_number 187
_symmetry_space_group_name_Hall 'P -6 2'
_cell_length_a 3.4132
_cell_length_b 3.4132
_cell_length_c 14.2003
_cell_angle_alpha 90.00
_cell_angle_beta 90.00
_cell_angle_gamma 120.00
loop_
_atom_site_label
_atom_site_fract_x
_atom_site_fract_y
_atom_site_fract_z
Lu1 0.0000 0.0000 0.1332
Lu2 0.6667 0.3333 0.3219
Ni1 0.6667 0.3333 0.0000
Sn1 0.0000 0.0000 0.5000
N1 0.3333 0.6667 0.2413
```

* E: -6.623 eV per atom

---

What did the second record say?
Here is an optimized crystal structure of Lu4NiSnN2 from OQMD via LeMat-Bulk. Energies are from GGA-PBE.

The structure in CIF format:
```
data_Lu4NiSnN2
_symmetry_space_group_name_H-M 'P -6 m 2'
_symmetry_Int_Tables_number 187
_symmetry_space_group_name_Hall 'P -6 2'
_cell_length_a 3.4132
_cell_length_b 3.4132
_cell_length_c 14.2003
_cell_angle_alpha 90.00
_cell_angle_beta 90.00
_cell_angle_gamma 120.00
loop_
_atom_site_label
_atom_site_fract_x
_atom_site_fract_y
_atom_site_fract_z
Lu1 0.0000 0.0000 0.1332
Lu2 0.6667 0.3333 0.3219
Ni1 0.6667 0.3333 0.0000
Sn1 0.0000 0.0000 0.5000
N1 0.3333 0.6667 0.2413
```

* E: -6.623 eV per atom

---

Please write out number 2 again, unchanged.
Here is an optimized crystal structure of Lu4NiSnN2 from OQMD via LeMat-Bulk. Energies are from GGA-PBE.

The structure in CIF format:
```
data_Lu4NiSnN2
_symmetry_space_group_name_H-M 'P -6 m 2'
_symmetry_Int_Tables_number 187
_symmetry_space_group_name_Hall 'P -6 2'
_cell_length_a 3.4132
_cell_length_b 3.4132
_cell_length_c 14.2003
_cell_angle_alpha 90.00
_cell_angle_beta 90.00
_cell_angle_gamma 120.00
loop_
_atom_site_label
_atom_site_fract_x
_atom_site_fract_y
_atom_site_fract_z
Lu1 0.0000 0.0000 0.1332
Lu2 0.6667 0.3333 0.3219
Ni1 0.6667 0.3333 0.0000
Sn1 0.0000 0.0000 0.5000
N1 0.3333 0.6667 0.2413
```

* E: -6.623 eV per atom

---

Question: Among the records above, which one has the lowest E?
Answer: Lu4NiSnN2